a | This record from the Alexandria database describes a relaxed structure of VP2PdO. The functional is GGA+U.

Structure (POSCAR):
```
VP2PdO
1.0
4.6217 0.0000 0.0000
0.0000 4.6217 0.0000
0.0000 0.0000 3.8905
V P Pd O
1 2 1 1
Direct
0.0000 0.0000 0.0000 V
0.0000 0.5000 0.5000 P
0.5000 0.0000 0.5000 P
0.5000 0.5000 0.5000 Pd
0.5000 0.5000 0.0000 O
```


b | This record from the Alexandria database describes a relaxed structure of VP2PdO. The functional is GGA+U.

Structure (POSCAR):
```
VP2PdO
1.0
4.7018 0.0000 0.0000
0.0000 4.7018 0.0000
0.0000 0.0000 3.5575
V P Pd O
1 2 1 1
Direct
0.0000 0.0000 0.0000 V
0.0000 0.5000 0.0000 P
0.5000 0.0000 0.0000 P
0.5000 0.5000 0.5000 Pd
0.0000 0.0000 0.5000 O
```


Of them, b has the highest stability.


a | This record from the Alexandria database describes a relaxed structure of PPdWO2. The functional is GGA+U.

Structure (POSCAR):
```
PPdWO2
1.0
3.9148 0.0000 0.0000
0.0000 3.9148 0.0000
0.0000 0.0000 4.9183
P Pd W O
1 1 1 2
Direct
0.0000 0.0000 0.0000 P
0.0000 0.0000 0.5000 Pd
0.5000 0.5000 0.0000 W
0.0000 0.5000 0.5000 O
0.5000 0.0000 0.5000 O
```


b | This record from the Alexandria database describes a relaxed structure of PPdWO2. The functional is GGA+U.

Structure (POSCAR):
```
PPdWO2
1.0
3.7905 0.0000 0.0000
0.0000 3.7905 0.0000
0.0000 0.0000 5.3332
P Pd W O
1 1 1 2
Direct
0.0000 0.0000 0.0000 P
0.5000 0.5000 0.0000 Pd
0.0000 0.0000 0.5000 W
0.0000 0.5000 0.5000 O
0.5000 0.0000 0.5000 O
```


Of them, b has the highest stability.


a | This record from the Alexandria database describes a relaxed structure of P2PdWO. The functional is GGA+U.

Structure (POSCAR):
```
P2PdWO
1.0
4.8180 0.0000 0.0000
0.0000 4.8180 0.0000
0.0000 0.0000 3.7720
P Pd W O
2 1 1 1
Direct
0.0000 0.5000 0.0000 P
0.5000 0.0000 0.0000 P
0.0000 0.0000 0.5000 Pd
0.5000 0.5000 0.0000 W
0.5000 0.5000 0.5000 O
```


b | This record from the Alexandria database describes a relaxed structure of P2PdWO. The functional is GGA+U.

Structure (POSCAR):
```
P2PdWO
1.0
4.7142 0.0000 0.0000
0.0000 4.7142 0.0000
0.0000 0.0000 3.8692
P Pd W O
2 1 1 1
Direct
0.0000 0.5000 0.0000 P
0.5000 0.0000 0.0000 P
0.0000 0.0000 0.0000 Pd
0.5000 0.5000 0.5000 W
0.0000 0.0000 0.5000 O
```


Of them, a has the highest stability.